1:
Compound: TaReSe2
Source: Alexandria via LeMat-Bulk
Functional: PBE
Structure: relaxed

a = 4.4054 Å, b = 4.4054 Å, c = 5.3317 Å
α = 78.33°, β = 78.33°, γ = 41.24°
Element x y z (fractional)
Re 0.2500 0.2500 0.2500
Ta 0.7500 0.7500 0.7500
Se 0.0005 0.0005 0.0045
Se 0.4995 0.4995 0.4955


2:
Compound: TaReSe2
Source: Alexandria via LeMat-Bulk
Functional: PBE
Structure: relaxed

a = 3.4493 Å, b = 3.4489 Å, c = 7.2134 Å
α = 90.00°, β = 90.00°, γ = 90.00°
Element x y z (fractional)
Ta 0.0000 0.0000 0.5419
Se 0.5000 0.5000 0.3493
Se 0.0000 0.0000 0.9030
Re 0.5000 0.5000 0.7058


Unit: meV per atom. Relative energies: 1 229; 2 0.